[1]
Be2ZnPt2: relaxed, PBE.

abc: 6.807 6.807 2.755
angles: 90.00 90.00 90.00
Positions (direct):
Be 0.140 0.360 0.000
Be 0.360 0.860 0.000
Be 0.640 0.140 0.000
Be 0.860 0.640 0.000
Zn 0.000 0.000 0.500
Zn 0.500 0.500 0.500
Pt 0.155 0.655 0.500
Pt 0.345 0.155 0.500
Pt 0.655 0.845 0.500
Pt 0.845 0.345 0.500

Properties
energy = -4.73 eV per atom
excess energy over the best structure of this formula in the dataset = 60 meV/atom
total moment = 0.00 μB per cell
D(E_F) = 2.46 states/eV/cell
E_form = -0.57 eV/atom
density = 12.32 g cm⁻³

***

[2]
LiMg4Rh3: relaxed, PBE.

abc: 7.042 7.042 7.042
angles: 143.07 143.07 53.22
Positions (direct):
Li 0.000 0.000 0.000
Mg 0.130 0.630 0.500
Mg 0.370 0.870 0.500
Mg 0.630 0.130 0.500
Mg 0.870 0.370 0.500
Rh 0.252 0.252 0.000
Rh 0.500 0.500 0.000
Rh 0.748 0.748 0.000

Properties
energy = -4.25 eV per atom
total moment = 0.00 μB per cell
D(E_F) = 2.88 states/eV/cell
E_form = -0.45 eV/atom
density = 5.47 g cm⁻³

***

[3]
Pm2Si4AgPt3: relaxed, PBE.

abc: 4.270 4.270 9.971
angles: 90.00 90.00 90.00
Positions (direct):
Pm 0.000 0.500 0.245
Pm 0.500 0.000 0.755
Si 0.000 0.000 0.000
Si 0.000 0.500 0.640
Si 0.500 0.000 0.360
Si 0.500 0.500 0.000
Ag 0.000 0.000 0.500
Pt 0.000 0.500 0.882
Pt 0.500 0.000 0.118
Pt 0.500 0.500 0.500

Properties
energy relative to the elements, uncorrected = -0.9560 eV per atom
energy = -6.17 eV per atom
total moment = 0.00 μB per cell
D(E_F) = 4.21 states/eV/cell
density = 10.01 g cm⁻³

***

[4]
Pr4PaS5: relaxed, PBE.

abc: 10.817 10.817 10.817
angles: 158.54 149.25 37.80
Positions (direct):
Pr 0.099 0.099 0.000
Pr 0.307 0.307 0.000
Pr 0.693 0.693 0.000
Pr 0.901 0.901 0.000
Pa 0.500 0.500 0.000
S 0.000 0.500 0.500
S 0.203 0.703 0.500
S 0.407 0.907 0.500
S 0.593 0.093 0.500
S 0.797 0.297 0.500

Properties
energy relative to the elements, uncorrected = -1.9218 eV per atom
energy = -6.85 eV per atom
total moment = 0.00 μB per cell
D(E_F) = 6.41 states/eV/cell
density = 6.71 g cm⁻³